{
  "formula": "DyV2NiO8",
  "functional": "PBE with a Hubbard U",
  "state": "optimized geometry",
  "volume_a3_per_cell": 168.1,
  "crystal_system": "trigonal",
  "final_energy_ev_per_cell": -84.54,
  "cell": [[-1.438, -3.485, -4.354], [1.304, -2.217, 5.153], [-5.625, 0.353, 1.575]],
  "species": ["Dy", "V", "V", "Ni", "O", "O", "O", "O", "O", "O", "O", "O"],
  "frac_coords": [[0.000, 0.000, 0.000], [0.667, 0.333, 0.359], [0.333, 0.667, 0.641], [0.000, 0.000, 0.500], [0.838, 0.162, 0.272], [0.838, 0.677, 0.272], [0.323, 0.162, 0.272], [0.677, 0.838, 0.728], [0.333, 0.667, 0.359], [0.667, 0.333, 0.641], [0.162, 0.838, 0.728], [0.162, 0.323, 0.728]]
}